Density functional theory data (GGA-PBE) for an optimized crystal structure of Pm8Sm2Ga. Values from VASP.

## Properties
Calculated total energy   -0.338 Ry per atom
Energy of formation from the pure elements   -0.015 eV/atom
Space group   Immm (71)

Structure (Quantum ESPRESSO input):
```
&SYSTEM
  ibrav = 0, nat = 11, ntyp = 3
/
ATOMIC_SPECIES
Pm 145.00 Pm.upf
Sm 150.36 Sm.upf
Ga 69.72 Ga.upf
CELL_PARAMETERS angstrom
5.574 0.000 0.000
0.000 7.552 -0.221
-2.787 -3.521 8.838
ATOMIC_POSITIONS crystal
Pm 0.000 0.754 0.000
Pm 0.181 0.181 0.363
Pm 0.631 0.396 0.262
Pm 0.631 0.866 0.262
Pm 0.369 0.134 0.738
Pm 0.000 0.246 0.000
Pm 0.819 0.819 0.637
Pm 0.369 0.604 0.738
Sm 0.192 0.692 0.383
Sm 0.808 0.308 0.617
Ga 0.500 0.000 0.000
```